This record from the Alexandria database describes a relaxed structure of CrPPt2. The functional is PBE.

Energy of formation: -22.0 kJ per mole of atoms
Crystal system: monoclinic
SG: No. 8
Raw total energy: -7.007 eV/atom

Unit cell a=4.747 b=4.747 c=4.728 alpha=119.79 beta=119.79 gamma=41.76
Atoms (fractional coordinates):
Cr  0.000  0.000  0.000
P  0.701  0.701  0.040
Pt  0.197  0.197  0.682
Pt  0.397  0.397  0.391